A relaxed structure of DySb6Pd12, computed with GGA-PBE.

```
DySb6Pd12
1.0
-4.7745 2.8998 5.1527
-4.3981 -2.3591 -5.7312
2.7798 -6.3304 3.1549
Dy Sb Pd
1 6 12
Direct
0.0000 0.0000 0.0000 Dy
0.6754 0.2658 0.2658 Sb
0.2658 0.2658 0.6754 Sb
0.2658 0.6754 0.2658 Sb
0.7342 0.7342 0.3246 Sb
0.3246 0.7342 0.7342 Sb
0.7342 0.3246 0.7342 Sb
0.8779 0.1221 0.5000 Pd
0.8873 0.6486 0.6486 Pd
0.6486 0.6486 0.8873 Pd
0.3514 0.1127 0.3514 Pd
0.3514 0.3514 0.1127 Pd
0.1127 0.3514 0.3514 Pd
0.1221 0.5000 0.8779 Pd
0.5000 0.8779 0.1221 Pd
0.1221 0.8779 0.5000 Pd
0.8779 0.5000 0.1221 Pd
0.5000 0.1221 0.8779 Pd
0.6486 0.8873 0.6486 Pd
```

Properties
For the density of states at the Fermi level, the calculation gives 0.51 states/eV/atom. The calculation puts the density at 9.482 Mg/m³. For the energy, the calculation gives -5.198 eV/atom.

***

A relaxed structure of Dy2SbPd8, computed with GGA-PBE.

```
Dy2SbPd8
1.0
-1.1376 3.8153 2.5661
-5.7277 -1.4859 -0.3301
4.0864 -5.0382 4.9309
Dy Sb Pd
2 1 8
Direct
0.8127 0.3126 0.6253 Dy
0.1873 0.6874 0.3747 Dy
0.5000 0.0000 0.0000 Sb
0.3593 0.5987 0.7186 Pd
0.6409 0.8808 0.2817 Pd
0.8164 0.8162 0.6328 Pd
0.9999 0.2492 0.9998 Pd
0.1836 0.1838 0.3672 Pd
0.3591 0.1192 0.7183 Pd
0.6407 0.4013 0.2814 Pd
0.0001 0.7508 0.0002 Pd
```

Properties
For the density of states at the Fermi level, the calculation gives 0.34 states/eV/atom. The calculation puts the density at 10.646 Mg/m³. For the energy, the calculation gives -5.651 eV/atom.

***

A relaxed structure of Dy8Sb2Pd, computed with GGA-PBE.

```
Dy8Sb2Pd
1.0
-3.8986 2.3952 -1.2108
-0.2290 -3.5312 -6.2484
-3.2322 -7.0767 5.6594
Dy Sb Pd
8 2 1
Direct
0.4047 0.4910 0.8095 Dy
0.6491 0.0320 0.2981 Dy
0.7850 0.6526 0.5701 Dy
0.9949 0.2306 0.9899 Dy
0.2150 0.3474 0.4299 Dy
0.3509 0.9680 0.7019 Dy
0.5953 0.5090 0.1905 Dy
0.0051 0.7694 0.0101 Dy
0.8180 0.2271 0.6360 Sb
0.1820 0.7729 0.3640 Sb
0.5000 0.0000 0.0000 Pd
```

Properties
For the density of states at the Fermi level, the calculation gives 1.03 states/eV/atom. The calculation puts the density at 8.735 Mg/m³. For the energy, the calculation gives -5.074 eV/atom.

***

Among the records above, which one has the lowest energy?
Dy2SbPd8